Co2OsF: optimized geometry, PBE+U.

extended XYZ file:
```
4
Lattice="0.0000 2.9554 2.9554 2.9554 0.0000 2.9554 2.9554 2.9554 0.0000" Properties=species:S:1:pos:R:3 pbc="T T T"
Co 4.4332 4.4332 4.4332
F 0.0000 0.0000 0.0000
Os 2.9554 2.9554 2.9554
Co 1.4777 1.4777 1.4777
```

Values from the calculation:
Excess energy over the best structure of this formula in the dataset, meV/atom: 239